Computed, not measured: a relaxed RbMgInSb crystal at the GGA-PBE level of DFT.

Results
E_tot   -10.17 eV per cell
Symmetry   Cm, No. 8
Magnetic moment   0.00 μB per formula unit
E_form (uncorrected)   -187 meV per atom

a b c (Å): 3.9447 3.9447 8.3175
angles (deg): 89.97 90.03 90.00
Closest atoms and distances in Å follow each position.
Sites, in units of the cell vectors:
Rb  0.6456  0.3544  0.9831  4 Sb 3.83, 1 Mg 3.85, 4 In 3.87-3.88, 4 Rb 3.94
Sb  0.1459  0.8541  0.2993  1 In 3.00, 4 Mg 3.04-3.05
In  0.1468  0.8532  0.6600  1 Sb 3.00, 4 Mg 3.31
Mg  0.6467  0.3533  0.4464  4 Sb 3.04-3.05, 4 In 3.31

Computed, not measured: a relaxed RbMg2InSe4 crystal at the GGA-PBE level of DFT.

Results
E_tot   -56.96 eV per cell
Symmetry   Cmcm, No. 63
Magnetic moment   0.00 μB per formula unit
E_form (uncorrected)   -956 meV per atom

a b c (Å): 3.9724 8.0488 14.9321
angles (deg): 90.00 90.00 104.29
Closest atoms and distances in Å follow each position.
Sites, in units of the cell vectors:
Rb  0.1444  0.2888  0.7500  6 Se 3.39-3.66
Rb  0.8556  0.7112  0.2500  6 Se 3.39-3.66
In  0.8585  0.7171  0.7500  4 Se 2.56-2.62
In  0.1415  0.2829  0.2500  4 Se 2.56-2.62
Mg  0.6026  0.2051  0.0607  4 Se 2.71-2.77
Mg  0.3974  0.7949  0.5607  4 Se 2.71-2.77
Mg  0.3974  0.7949  0.9393  4 Se 2.71-2.77
Mg  0.6026  0.2051  0.4393  4 Se 2.71-2.77
Se  0.4681  0.9362  0.7500  2 In 2.62
Se  0.0000  0.0000  0.0000  4 Mg 2.71
Se  0.7793  0.5586  0.5997  1 In 2.56, 2 Mg 2.77
Se  0.0000  0.0000  0.5000  4 Mg 2.71
Se  0.2207  0.4414  0.0997  1 In 2.56, 2 Mg 2.77
Se  0.7793  0.5586  0.9003  1 In 2.56, 2 Mg 2.77
Se  0.2207  0.4414  0.4003  1 In 2.56, 2 Mg 2.77
Se  0.5319  0.0638  0.2500  2 In 2.62

Question: Which formula does entry 1 have?
Answer: RbMgInSb

Question: Number 1 is which compound?
Answer: RbMgInSb

Question: What is the formula in the second record?
Answer: RbMg2InSe4